# PBE SmPt8Pb3, relaxed
# Space-group type: P3m1
# Size of the total moment (μB/f.u.): 0.00
# Formation enthalpy at 0 K (kJ/mol of atoms): -36.4
# Uncorrected energy (eV/atom): -5.725
# V (Å³ per cell): 235.5
data_SmPt8Pb3
_chemical_formula_sum 'Sm1 Pt8 Pb3'
_cell_length_a 5.5100
_cell_length_b 5.5100
_cell_length_c 8.9564
_cell_angle_alpha 90.00
_cell_angle_beta 90.00
_cell_angle_gamma 120.00
_space_group_name_H-M_alt 'P 1'
_space_group_IT_number 1
loop_
_space_group_symop_operation_xyz
'x,y,z'
loop_
_atom_site_label
_atom_site_type_symbol
_atom_site_fract_x
_atom_site_fract_y
_atom_site_fract_z
_atom_site_occupancy
Sm1 Sm 0.0000 0.0000 0.0000 1
Pt1 Pt 0.1654 0.3309 0.6821 1
Pt2 Pt 0.1654 0.8346 0.6821 1
Pt3 Pt 0.3333 0.6667 0.4251 1
Pt4 Pt 0.3333 0.6667 0.9278 1
Pt5 Pt 0.5015 0.0031 0.1726 1
Pt6 Pt 0.5015 0.4985 0.1726 1
Pt7 Pt 0.6691 0.8346 0.6821 1
Pt8 Pt 0.9969 0.4985 0.1726 1
Pb1 Pb 0.0000 0.0000 0.3806 1
Pb2 Pb 0.6667 0.3333 0.4803 1
Pb3 Pb 0.6667 0.3333 0.8541 1


# PBE Sm2Pt15Pb2, relaxed
# Space-group type: R-3m
# Size of the total moment (μB/f.u.): 0.00
# Formation enthalpy at 0 K (kJ/mol of atoms): -42.0
# Uncorrected energy (eV/atom): -6.092
# V (Å³ per cell): 352.9
data_Sm2Pt15Pb2
_chemical_formula_sum 'Sm2 Pt15 Pb2'
_cell_length_a 7.1023
_cell_length_b 7.1023
_cell_length_c 7.1023
_cell_angle_alpha 84.07
_cell_angle_beta 84.07
_cell_angle_gamma 84.07
_space_group_name_H-M_alt 'P 1'
_space_group_IT_number 1
loop_
_space_group_symop_operation_xyz
'x,y,z'
loop_
_atom_site_label
_atom_site_type_symbol
_atom_site_fract_x
_atom_site_fract_y
_atom_site_fract_z
_atom_site_occupancy
Sm1 Sm 0.1409 0.1409 0.1409 1
Sm2 Sm 0.8591 0.8591 0.8591 1
Pt1 Pt 0.0000 0.5000 0.5000 1
Pt2 Pt 0.1602 0.1602 0.6766 1
Pt3 Pt 0.1602 0.6766 0.1602 1
Pt4 Pt 0.1662 0.5000 0.8338 1
Pt5 Pt 0.1662 0.8338 0.5000 1
Pt6 Pt 0.3234 0.8398 0.8398 1
Pt7 Pt 0.5000 0.0000 0.5000 1
Pt8 Pt 0.5000 0.1662 0.8338 1
Pt9 Pt 0.5000 0.5000 0.0000 1
Pt10 Pt 0.5000 0.8338 0.1662 1
Pt11 Pt 0.6766 0.1602 0.1602 1
Pt12 Pt 0.8338 0.1662 0.5000 1
Pt13 Pt 0.8338 0.5000 0.1662 1
Pt14 Pt 0.8398 0.3234 0.8398 1
Pt15 Pt 0.8398 0.8398 0.3234 1
Pb1 Pb 0.3931 0.3931 0.3931 1
Pb2 Pb 0.6069 0.6069 0.6069 1


# PBE Sm4PtPb, relaxed
# Space-group type: C2/c
# Offset from the most stable computed form (meV/atom): 51
# Size of the total moment (μB/f.u.): 0.00
# Formation enthalpy at 0 K (kJ/mol of atoms): -54.0
# Uncorrected energy (eV/atom): -5.331
# V (Å³ per cell): 361.6
data_Sm4PtPb
_chemical_formula_sum 'Sm8 Pt2 Pb2'
_cell_length_a 8.3061
_cell_length_b 8.3061
_cell_length_c 6.2881
_cell_angle_alpha 103.41
_cell_angle_beta 103.41
_cell_angle_gamma 113.22
_space_group_name_H-M_alt 'P 1'
_space_group_IT_number 1
loop_
_space_group_symop_operation_xyz
'x,y,z'
loop_
_atom_site_label
_atom_site_type_symbol
_atom_site_fract_x
_atom_site_fract_y
_atom_site_fract_z
_atom_site_occupancy
Sm1 Sm 0.0637 0.7083 0.9275 1
Sm2 Sm 0.2080 0.3540 0.6679 1
Sm3 Sm 0.2917 0.9363 0.5725 1
Sm4 Sm 0.3540 0.2080 0.1679 1
Sm5 Sm 0.6460 0.7920 0.8321 1
Sm6 Sm 0.7083 0.0637 0.4275 1
Sm7 Sm 0.7920 0.6460 0.3321 1
Sm8 Sm 0.9363 0.2917 0.0725 1
Pt1 Pt 0.0001 0.9999 0.2500 1
Pt2 Pt 0.9999 0.0001 0.7500 1
Pb1 Pb 0.3749 0.6251 0.2500 1
Pb2 Pb 0.6251 0.3749 0.7500 1


# PBE Sm4PtPb, relaxed
# Space-group type: P2_1/m
# Offset from the most stable computed form (meV/atom): 0
# Size of the total moment (μB/f.u.): 0.00
# Formation enthalpy at 0 K (kJ/mol of atoms): -58.9
# Uncorrected energy (eV/atom): -5.381
# V (Å³ per cell): 361.7
data_Sm4PtPb
_chemical_formula_sum 'Sm8 Pt2 Pb2'
_cell_length_a 6.2777
_cell_length_b 6.9289
_cell_length_c 8.8782
_cell_angle_alpha 90.00
_cell_angle_beta 110.50
_cell_angle_gamma 90.00
_space_group_name_H-M_alt 'P 1'
_space_group_IT_number 1
loop_
_space_group_symop_operation_xyz
'x,y,z'
loop_
_atom_site_label
_atom_site_type_symbol
_atom_site_fract_x
_atom_site_fract_y
_atom_site_fract_z
_atom_site_occupancy
Sm1 Sm 0.0151 0.0020 0.2188 1
Sm2 Sm 0.0151 0.4980 0.2188 1
Sm3 Sm 0.3980 0.2500 0.6264 1
Sm4 Sm 0.4210 0.2500 0.0816 1
Sm5 Sm 0.5790 0.7500 0.9184 1
Sm6 Sm 0.6020 0.7500 0.3736 1
Sm7 Sm 0.9849 0.5020 0.7812 1
Sm8 Sm 0.9849 0.9980 0.7812 1
Pt1 Pt 0.2429 0.7500 0.0605 1
Pt2 Pt 0.7571 0.2500 0.9395 1
Pb1 Pb 0.2288 0.7500 0.5559 1
Pb2 Pb 0.7712 0.2500 0.4441 1


# PBE Sm12Pt6Pb, relaxed
# Space-group type: Im-3
# Size of the total moment (μB/f.u.): 0.00
# Formation enthalpy at 0 K (kJ/mol of atoms): -77.7
# Uncorrected energy (eV/atom): -5.889
# V (Å³ per cell): 537.7
data_Sm12Pt6Pb
_chemical_formula_sum 'Sm12 Pt6 Pb1'
_cell_length_a 8.8725
_cell_length_b 8.8725
_cell_length_c 8.8725
_cell_angle_alpha 109.47
_cell_angle_beta 109.47
_cell_angle_gamma 109.47
_space_group_name_H-M_alt 'P 1'
_space_group_IT_number 1
loop_
_space_group_symop_operation_xyz
'x,y,z'
loop_
_atom_site_label
_atom_site_type_symbol
_atom_site_fract_x
_atom_site_fract_y
_atom_site_fract_z
_atom_site_occupancy
Sm1 Sm 0.1224 0.3032 0.8192 1
Sm2 Sm 0.1808 0.4841 0.3032 1
Sm3 Sm 0.1808 0.8776 0.6968 1
Sm4 Sm 0.3032 0.1808 0.4841 1
Sm5 Sm 0.3032 0.8192 0.1224 1
Sm6 Sm 0.4841 0.3032 0.1808 1
Sm7 Sm 0.5159 0.6968 0.8192 1
Sm8 Sm 0.6968 0.1808 0.8776 1
Sm9 Sm 0.6968 0.8192 0.5159 1
Sm10 Sm 0.8192 0.1224 0.3032 1
Sm11 Sm 0.8192 0.5159 0.6968 1
Sm12 Sm 0.8776 0.6968 0.1808 1
Pt1 Pt 0.1361 0.5000 0.6361 1
Pt2 Pt 0.3639 0.8639 0.5000 1
Pt3 Pt 0.5000 0.3639 0.8639 1
Pt4 Pt 0.5000 0.6361 0.1361 1
Pt5 Pt 0.6361 0.1361 0.5000 1
Pt6 Pt 0.8639 0.5000 0.3639 1
Pb1 Pb 0.0000 0.0000 0.0000 1


# PBE Sm5Pt2Pb, relaxed
# Space-group type: I4/mcm
# Size of the total moment (μB/f.u.): 0.00
# Formation enthalpy at 0 K (kJ/mol of atoms): -77.4
# Uncorrected energy (eV/atom): -5.726
# V (Å³ per cell): 444.4
data_Sm5Pt2Pb
_chemical_formula_sum 'Sm10 Pt4 Pb2'
_cell_length_a 8.9293
_cell_length_b 8.9293
_cell_length_c 8.9293
_cell_angle_alpha 126.56
_cell_angle_beta 126.56
_cell_angle_gamma 78.97
_space_group_name_H-M_alt 'P 1'
_space_group_IT_number 1
loop_
_space_group_symop_operation_xyz
'x,y,z'
loop_
_atom_site_label
_atom_site_type_symbol
_atom_site_fract_x
_atom_site_fract_y
_atom_site_fract_z
_atom_site_occupancy
Sm1 Sm 0.0000 0.0000 0.0000 1
Sm2 Sm 0.0216 0.5216 0.8173 1
Sm3 Sm 0.2043 0.0216 0.5000 1
Sm4 Sm 0.2957 0.7957 0.8173 1
Sm5 Sm 0.4784 0.2957 0.5000 1
Sm6 Sm 0.5000 0.5000 0.0000 1
Sm7 Sm 0.5216 0.7043 0.5000 1
Sm8 Sm 0.7043 0.2043 0.1827 1
Sm9 Sm 0.7957 0.9784 0.5000 1
Sm10 Sm 0.9784 0.4784 0.1827 1
Pt1 Pt 0.1357 0.3643 0.5000 1
Pt2 Pt 0.3643 0.8643 0.2286 1
Pt3 Pt 0.6357 0.1357 0.7714 1
Pt4 Pt 0.8643 0.6357 0.5000 1
Pb1 Pb 0.2500 0.2500 0.0000 1
Pb2 Pb 0.7500 0.7500 0.0000 1


# PBE Sm3Pt8Pb, relaxed
# Space-group type: R3m
# Size of the total moment (μB/f.u.): 0.00
# Formation enthalpy at 0 K (kJ/mol of atoms): -88.5
# Uncorrected energy (eV/atom): -6.433
# V (Å³ per cell): 233.9
data_Sm3Pt8Pb
_chemical_formula_sum 'Sm3 Pt8 Pb1'
_cell_length_a 9.4907
_cell_length_b 9.4907
_cell_length_c 9.4907
_cell_angle_alpha 33.65
_cell_angle_beta 33.65
_cell_angle_gamma 33.65
_space_group_name_H-M_alt 'P 1'
_space_group_IT_number 1
loop_
_space_group_symop_operation_xyz
'x,y,z'
loop_
_atom_site_label
_atom_site_type_symbol
_atom_site_fract_x
_atom_site_fract_y
_atom_site_fract_z
_atom_site_occupancy
Sm1 Sm 0.0000 0.0000 0.0000 1
Sm2 Sm 0.1286 0.1286 0.1286 1
Sm3 Sm 0.5122 0.5122 0.5122 1
Pt1 Pt 0.0670 0.0670 0.5629 1
Pt2 Pt 0.0670 0.5629 0.0670 1
Pt3 Pt 0.0735 0.5677 0.5677 1
Pt4 Pt 0.3171 0.3171 0.3171 1
Pt5 Pt 0.5629 0.0670 0.0670 1
Pt6 Pt 0.5677 0.0735 0.5677 1
Pt7 Pt 0.5677 0.5677 0.0735 1
Pt8 Pt 0.8173 0.8173 0.8173 1
Pb1 Pb 0.6385 0.6385 0.6385 1


# PBE SmTmPtPb, relaxed
# Space-group type: F-43m
# Size of the total moment (μB/f.u.): 0.00
# Formation enthalpy at 0 K (kJ/mol of atoms): -69.0
# Uncorrected energy (eV/atom): -5.450
# V (Å³ per cell): 100.1
data_SmTmPtPb
_chemical_formula_sum 'Sm1 Tm1 Pt1 Pb1'
_cell_length_a 5.2112
_cell_length_b 5.2112
_cell_length_c 5.2112
_cell_angle_alpha 60.00
_cell_angle_beta 60.00
_cell_angle_gamma 60.00
_space_group_name_H-M_alt 'P 1'
_space_group_IT_number 1
loop_
_space_group_symop_operation_xyz
'x,y,z'
loop_
_atom_site_label
_atom_site_type_symbol
_atom_site_fract_x
_atom_site_fract_y
_atom_site_fract_z
_atom_site_occupancy
Sm1 Sm 0.0000 0.0000 0.0000 1
Tm1 Tm 0.5000 0.5000 0.5000 1
Pt1 Pt 0.2500 0.2500 0.2500 1
Pb1 Pb 0.7500 0.7500 0.7500 1


Q: Number 1 is which compound?
A: SmPt8Pb3


Q: What is the formation enthalpy at 0 K in the third record?
A: -54.0 kJ/mol of atoms


What did the third record say?
# PBE Sm4PtPb, relaxed
# Space-group type: C2/c
# Offset from the most stable computed form (meV/atom): 51
# Size of the total moment (μB/f.u.): 0.00
# Formation enthalpy at 0 K (kJ/mol of atoms): -54.0
# Uncorrected energy (eV/atom): -5.331
# V (Å³ per cell): 361.6
data_Sm4PtPb
_chemical_formula_sum 'Sm8 Pt2 Pb2'
_cell_length_a 8.3061
_cell_length_b 8.3061
_cell_length_c 6.2881
_cell_angle_alpha 103.41
_cell_angle_beta 103.41
_cell_angle_gamma 113.22
_space_group_name_H-M_alt 'P 1'
_space_group_IT_number 1
loop_
_space_group_symop_operation_xyz
'x,y,z'
loop_
_atom_site_label
_atom_site_type_symbol
_atom_site_fract_x
_atom_site_fract_y
_atom_site_fract_z
_atom_site_occupancy
Sm1 Sm 0.0637 0.7083 0.9275 1
Sm2 Sm 0.2080 0.3540 0.6679 1
Sm3 Sm 0.2917 0.9363 0.5725 1
Sm4 Sm 0.3540 0.2080 0.1679 1
Sm5 Sm 0.6460 0.7920 0.8321 1
Sm6 Sm 0.7083 0.0637 0.4275 1
Sm7 Sm 0.7920 0.6460 0.3321 1
Sm8 Sm 0.9363 0.2917 0.0725 1
Pt1 Pt 0.0001 0.9999 0.2500 1
Pt2 Pt 0.9999 0.0001 0.7500 1
Pb1 Pb 0.3749 0.6251 0.2500 1
Pb2 Pb 0.6251 0.3749 0.7500 1


Q: What is the formation enthalpy at 0 K in the sixth record?
A: -77.4 kJ/mol of atoms